1.
An optimized crystal structure of Zn2Ni2Sn, computed with GGA-PBE.

Geometry as POSCAR:
```
Zn2Ni2Sn
1.0
3.798 0.000 0.000
0.000 3.798 0.000
1.899 1.899 5.550
Ni Zn Sn
2 2 1
direct
0.750 0.250 0.500 Ni
0.250 0.750 0.500 Ni
0.386 0.386 0.229 Zn
0.614 0.614 0.771 Zn
0.000 0.000 0.000 Sn
```

Summary:
DFT total energy ... -17.49 eV/f.u.
D(E_F) ... 2.66 states/eV/f.u.
ΔE_f ... 12.1 kJ/mol of atoms
Space group ... I4/mmm

2.
An optimized crystal structure of CdCo2Bi2, computed with GGA-PBE.

Geometry as POSCAR:
```
CdCo2Bi2
1.0
-2.256 3.269 3.481
-4.569 -2.599 -0.520
-2.400 -2.017 4.346
Co Bi Cd
2 2 1
direct
0.358 0.358 0.283 Co
0.642 0.642 0.717 Co
0.750 0.250 0.500 Bi
0.250 0.750 0.500 Bi
0.000 0.000 0.000 Cd
```

Summary:
DFT total energy ... -20.52 eV/f.u.
D(E_F) ... 4.46 states/eV/f.u.
ΔE_f ... 45.7 kJ/mol of atoms
Space group ... I4/mmm
Polymorph energy (0 for the lowest one) ... 200 meV per atom

3.
An optimized crystal structure of AlCu, computed with GGA-PBE.

Geometry as POSCAR:
```
AlCu
1.0
2.781 0.000 0.000
0.000 2.781 0.000
0.000 0.000 7.158
Al Cu
2 2
direct
0.250 0.250 0.148 Al
0.750 0.750 0.852 Al
0.250 0.250 0.617 Cu
0.750 0.750 0.383 Cu
```

Summary:
DFT total energy ... -8.01 eV/f.u.
D(E_F) ... 0.40 states/eV/f.u.
ΔE_f ... -8.3 kJ/mol of atoms
Space group ... P4/nmm

4.
An optimized crystal structure of CaNdCdAg, computed with GGA-PBE.

Geometry as POSCAR:
```
CaNdCdAg
1.0
5.350 0.000 0.000
2.675 4.633 0.000
2.675 1.544 4.368
Ca Nd Ag Cd
1 1 1 1
direct
0.000 0.000 0.000 Ca
0.500 0.500 0.500 Nd
0.250 0.250 0.250 Ag
0.750 0.750 0.750 Cd
```

Summary:
DFT total energy ... -11.80 eV/f.u.
D(E_F) ... 3.34 states/eV/f.u.
ΔE_f ... -30.5 kJ/mol of atoms
Space group ... F-43m
Polymorph energy (0 for the lowest one) ... 0 meV per atom

5.
An optimized crystal structure of Sm2MgAl3, computed with GGA-PBE.

Geometry as POSCAR:
```
Sm2MgAl3
1.0
-3.829 -0.395 -0.357
0.496 -4.692 -0.125
0.944 2.253 8.315
Sm Mg Al
2 1 3
direct
0.141 0.141 0.282 Sm
0.860 0.360 0.720 Sm
0.462 0.962 0.925 Mg
0.698 0.698 0.396 Al
0.541 0.541 0.082 Al
0.297 0.797 0.595 Al
```

Summary:
DFT total energy ... -24.00 eV/f.u.
D(E_F) ... 3.81 states/eV/f.u.
ΔE_f ... -28.0 kJ/mol of atoms
Space group ... Imm2
Polymorph energy (0 for the lowest one) ... 113 meV per atom

6.
An optimized crystal structure of LaScFe4, computed with GGA-PBE.

Geometry as POSCAR:
```
LaScFe4
1.0
0.000 3.626 3.626
3.626 0.000 3.626
3.626 3.626 0.000
La Sc Fe
1 1 4
direct
0.250 0.250 0.250 La
0.000 0.000 0.000 Sc
0.626 0.626 0.123 Fe
0.626 0.123 0.626 Fe
0.626 0.626 0.626 Fe
0.123 0.626 0.626 Fe
```

Summary:
DFT total energy ... -45.29 eV/f.u.
D(E_F) ... 6.21 states/eV/f.u.
ΔE_f ... -3.0 kJ/mol of atoms
Space group ... F-43m

7.
An optimized crystal structure of Y2AlTc2, computed with GGA-PBE.

Geometry as POSCAR:
```
Y2AlTc2
1.0
6.789 0.000 0.000
0.000 6.789 0.000
0.000 0.000 4.585
Y Tc Al
4 4 2
direct
0.178 0.678 0.500 Y
0.678 0.822 0.500 Y
0.822 0.322 0.500 Y
0.322 0.178 0.500 Y
0.378 0.878 0.000 Tc
0.878 0.622 0.000 Tc
0.622 0.122 0.000 Tc
0.122 0.378 0.000 Tc
0.000 0.000 0.000 Al
0.500 0.500 0.000 Al
```

Summary:
DFT total energy ... -38.29 eV/f.u.
D(E_F) ... 6.43 states/eV/f.u.
ΔE_f ... -17.1 kJ/mol of atoms
Space group ... P4/mbm
Polymorph energy (0 for the lowest one) ... 0 meV per atom

8.
An optimized crystal structure of Mg2TaAs, computed with GGA-PBE.

Geometry as POSCAR:
```
Mg2TaAs
1.0
4.743 0.000 0.000
0.000 3.930 0.000
0.000 0.000 3.930
As Mg Ta
1 2 1
direct
0.500 0.000 0.500 As
0.000 0.000 0.000 Mg
0.000 0.500 0.500 Mg
0.500 0.500 0.000 Ta
```

Summary:
DFT total energy ... -19.01 eV/f.u.
D(E_F) ... 3.51 states/eV/f.u.
ΔE_f ... 16.4 kJ/mol of atoms
Space group ... P4/mmm

9.
An optimized crystal structure of CeCdP2Pt2, computed with GGA-PBE.

Geometry as POSCAR:
```
CeCdP2Pt2
1.0
-2.680 3.059 -0.097
0.906 -2.020 -3.413
-5.902 -5.124 1.466
Ce Cd P Pt
1 1 2 2
direct
0.000 0.000 0.000 Ce
0.000 0.000 0.500 Cd
0.667 0.333 0.222 P
0.333 0.667 0.778 P
0.667 0.333 0.722 Pt
0.333 0.667 0.278 Pt
```

Summary:
DFT total energy ... -34.68 eV/f.u.
D(E_F) ... 5.31 states/eV/f.u.
ΔE_f ... -79.2 kJ/mol of atoms
Space group ... P-3m1

10.
An optimized crystal structure of CdAu2Cl, computed with GGA-PBE.

Geometry as POSCAR:
```
CdAu2Cl
1.0
3.238 0.014 0.000
-0.011 3.238 0.000
0.000 0.000 8.337
Cl Au Cd
1 2 1
direct
0.500 0.500 0.689 Cl
0.000 0.000 0.058 Au
0.500 0.500 0.263 Au
0.000 0.000 0.489 Cd
```

Summary:
DFT total energy ... -9.75 eV/f.u.
Formation energy (no corrections) ... -108 meV/atom
D(E_F) ... 1.09 states/eV/f.u.
Space group ... P4mm
Polymorph energy (0 for the lowest one) ... 149 meV per atom

11.
An optimized crystal structure of NaLa4Re2, computed with GGA-PBE.

Geometry as POSCAR:
```
NaLa4Re2
1.0
5.858 0.000 0.000
0.000 5.858 0.000
2.929 2.929 6.878
Re Na La
2 1 4
direct
0.588 0.588 0.823 Re
0.412 0.412 0.177 Re
0.000 0.000 0.000 Na
0.770 0.770 0.459 La
0.230 0.230 0.541 La
0.000 0.500 0.000 La
0.500 0.000 0.000 La
```

Summary:
DFT total energy ... -40.64 eV/f.u.
D(E_F) ... 7.90 states/eV/f.u.
ΔE_f ... 72.9 kJ/mol of atoms
Space group ... I4/mmm

12.
An optimized crystal structure of InRuRhPb, computed with GGA-PBE.

Geometry as POSCAR:
```
InRuRhPb
1.0
-4.306 1.589 0.797
-2.348 -1.421 3.764
-0.778 2.958 3.514
Pb Ru Rh In
1 1 1 1
direct
0.500 0.500 0.500 Pb
0.250 0.250 0.250 Ru
0.750 0.750 0.750 Rh
0.000 0.000 0.000 In
```

Summary:
DFT total energy ... -22.81 eV/f.u.
D(E_F) ... 2.31 states/eV/f.u.
ΔE_f ... 6.3 kJ/mol of atoms
Space group ... F-43m

13.
An optimized crystal structure of Ca2InI, computed with GGA-PBE.

Geometry as POSCAR:
```
Ca2InI
1.0
-2.072 -1.144 -3.445
-2.279 -3.504 -0.001
-8.637 3.125 1.621
Ca In I
2 1 1
direct
0.078 0.078 0.765 Ca
0.256 0.256 0.232 Ca
0.667 0.667 0.998 In
0.498 0.498 0.505 I
```

Summary:
DFT total energy ... -11.17 eV/f.u.
Formation energy (no corrections) ... -719 meV/atom
D(E_F) ... 1.03 states/eV/f.u.
Space group ... R3m
Polymorph energy (0 for the lowest one) ... 27 meV per atom

14.
An optimized crystal structure of LaGdEr2, computed with GGA-PBE.

Geometry as POSCAR:
```
LaGdEr2
1.0
-0.626 -1.896 2.986
2.402 -2.421 1.127
5.886 6.748 7.679
Gd La Er
1 1 2
direct
0.500 0.500 0.500 Gd
0.000 0.000 0.000 La
0.751 0.751 0.747 Er
0.249 0.249 0.253 Er
```

Summary:
DFT total energy ... -28.03 eV/f.u.
D(E_F) ... 5.67 states/eV/f.u.
ΔE_f ... 2.4 kJ/mol of atoms
Space group ... R-3m

15.
An optimized crystal structure of AlCo2Pb, computed with GGA-PBE.

Geometry as POSCAR:
```
AlCo2Pb
1.0
8.563 0.017 0.010
8.010 3.027 0.010
8.010 1.471 2.646
Pb Co Al
1 2 1
direct
0.508 0.508 0.508 Pb
0.997 0.997 0.997 Co
0.264 0.264 0.264 Co
0.731 0.731 0.731 Al
```

Summary:
DFT total energy ... -19.95 eV/f.u.
D(E_F) ... 4.69 states/eV/f.u.
ΔE_f ... 41.2 kJ/mol of atoms
Space group ... R3m
Polymorph energy (0 for the lowest one) ... 464 meV per atom

16.
An optimized crystal structure of PbCN2F, computed with GGA-PBE.

Geometry as POSCAR:
```
PbCN2F
1.0
-3.966 1.561 -1.302
-1.841 -1.547 3.752
0.839 3.774 1.968
Pb C N F
1 1 2 1
direct
0.000 0.000 0.000 Pb
0.500 0.500 0.500 C
0.000 0.500 0.000 N
0.500 0.000 0.000 N
0.000 0.000 0.500 F
```

Summary:
DFT total energy ... -19.98 eV/f.u.
Formation energy (no corrections) ... 2295 meV/atom
D(E_F) ... 2.49 states/eV/f.u.
Space group ... P4/mmm
Polymorph energy (0 for the lowest one) ... 1085 meV per atom

17.
An optimized crystal structure of TaZn2Rh3, computed with GGA-PBE.

Geometry as POSCAR:
```
TaZn2Rh3
1.0
-2.003 -2.427 0.350
0.293 -0.685 -3.077
6.789 -5.338 1.834
Ta Zn Rh
1 2 3
direct
0.500 0.500 0.500 Ta
0.500 0.500 0.843 Zn
0.500 0.500 0.157 Zn
0.000 0.000 0.000 Rh
0.000 0.000 0.667 Rh
0.000 0.000 0.333 Rh
```

Summary:
DFT total energy ... -39.55 eV/f.u.
D(E_F) ... 1.64 states/eV/f.u.
ΔE_f ... -49.8 kJ/mol of atoms
Space group ... P4/mmm
Polymorph energy (0 for the lowest one) ... 56 meV per atom

18.
An optimized crystal structure of ZnMoRu2N, computed with GGA-PBE.

Geometry as POSCAR:
```
ZnMoRu2N
1.0
-1.024 -3.754 -0.480
1.569 -0.939 3.995
-3.516 0.760 1.559
Ru Mo Zn N
2 1 1 1
direct
0.000 0.000 0.500 Ru
0.500 0.000 0.000 Ru
0.500 0.500 0.500 Mo
0.000 0.500 0.000 Zn
0.000 0.000 0.000 N
```

Summary:
DFT total energy ... -36.45 eV/f.u.
Formation energy (no corrections) ... 506 meV/atom
D(E_F) ... 4.40 states/eV/f.u.
Space group ... P4/mmm

19.
An optimized crystal structure of GaOsW3, computed with GGA-PBE.

Geometry as POSCAR:
```
GaOsW3
1.0
4.490 0.000 0.000
0.000 4.490 0.000
0.000 0.000 4.490
Os Ga W
1 1 3
direct
0.500 0.500 0.500 Os
0.000 0.000 0.000 Ga
0.000 0.500 0.000 W
0.000 0.000 0.500 W
0.500 0.000 0.000 W
```

Summary:
DFT total energy ... -43.11 eV/f.u.
D(E_F) ... 3.87 states/eV/f.u.
ΔE_f ... 193.1 kJ/mol of atoms
Space group ... Pm-3m
Polymorph energy (0 for the lowest one) ... 55 meV per atom

20.
An optimized crystal structure of PHRuS, computed with GGA-PBE.

Geometry as POSCAR:
```
PHRuS
1.0
5.532 0.000 -0.007
0.000 3.630 0.000
-1.915 0.000 5.710
P H Ru S
2 2 2 2
direct
0.200 0.000 0.397 P
0.200 0.500 0.897 P
0.806 0.000 0.578 H
0.806 0.500 0.078 H
0.380 0.000 0.790 Ru
0.380 0.500 0.290 Ru
0.725 0.000 0.340 S
0.725 0.500 0.840 S
```

Summary:
DFT total energy ... -22.47 eV/f.u.
D(E_F) ... 0.97 states/eV/f.u.
Space group ... Cm
Polymorph energy (0 for the lowest one) ... 124 meV per atom